[1]
Below is an optimized crystal structure of PaAl7Zn5, with properties calculated at the GGA-PBE level.

Unit cell a=5.2135 b=6.9567 c=6.9567 alpha=81.48 beta=67.99 gamma=67.99
Closest atoms and distances in Å follow each position.
Element x y z (fractional)
Zn 0.5013 0.9971 0.5016  3 Zn 2.60-2.62, 7 Al 2.66-2.80
Zn 0.0001 0.5016 0.9971  3 Zn 2.60-2.62, 7 Al 2.66-2.80
Al 0.6466 0.3534 0.3534  5 Al 2.69-2.94, 4 Zn 2.80
Zn 0.0001 0.9971 0.5016  3 Zn 2.60-2.62, 7 Al 2.66-2.80
Pa 0.9939 0.0061 0.0061  10 Al 3.18-3.29, 10 Zn 3.28-3.51
Al 0.5003 0.2118 0.7876  5 Zn 2.66-2.73, 5 Al 2.74-2.94
Zn 0.5013 0.5016 0.9971  3 Zn 2.60-2.62, 7 Al 2.66-2.80
Zn 0.7119 0.7881 0.7881  4 Zn 2.62, 4 Al 2.73-2.91
Al 0.0019 0.6461 0.3500  4 Al 2.69-2.94, 5 Zn 2.79-2.98
Al 0.5003 0.7876 0.2118  5 Zn 2.66-2.73, 5 Al 2.74-2.94
Al 0.2870 0.2130 0.2130  4 Zn 2.66, 6 Al 2.74-2.94
Al 0.3534 0.6466 0.6466  3 Al 2.69-2.94, 6 Zn 2.77-2.91
Al 0.0019 0.3500 0.6461  4 Al 2.69-2.94, 5 Zn 2.79-2.98

Output
- total magnetization (Bohr magnetons per cell) = 0.00
- DOS at the Fermi energy (states/eV/cell) = 8.794
- energy of formation from the pure elements (meV per atom) = -60

---

[2]
Below is an optimized crystal structure of ZrPaAlZn, with properties calculated at the GGA-PBE level.

Unit cell a=4.9193 b=4.9193 c=4.9193 alpha=60.00 beta=60.00 gamma=60.00
Closest atoms and distances in Å follow each position.
Element x y z (fractional)
Al 0.5000 0.5000 0.5000  4 Pa 3.01, 4 Zr 3.01
Zr 0.2500 0.2500 0.2500  4 Al 3.01, 4 Zn 3.01
Zn 0.0000 0.0000 0.0000  4 Zr 3.01, 4 Pa 3.01
Pa 0.7500 0.7500 0.7500  4 Al 3.01, 4 Zn 3.01

Output
- total magnetization (Bohr magnetons per cell) = 1.72
- DOS at the Fermi energy (states/eV/cell) = 6.239
- energy of formation from the pure elements (meV per atom) = -65

---

[3]
Below is an optimized crystal structure of ZrPaAl, with properties calculated at the GGA-PBE level.

Unit cell a=3.0831 b=5.0220 c=5.0220 alpha=120.00 beta=90.00 gamma=90.00
Closest atoms and distances in Å follow each position.
Element x y z (fractional)
Pa 0.3336 0.6667 0.3333  2 Pa 3.08, 6 Al 3.28-3.29, 6 Zr 3.28
Al 0.8326 0.3333 0.6667  3 Zr 2.90, 2 Al 3.08
Zr 0.8338 0.0000 0.0000  3 Al 2.90, 2 Zr 3.08

Output
- total magnetization (Bohr magnetons per cell) = 0.00
- excess energy over the best structure of this formula in the dataset (meV/atom) = 0
- DOS at the Fermi energy (states/eV/cell) = 5.373
- energy of formation from the pure elements (meV per atom) = 11

---

[4]
Below is an optimized crystal structure of ZrPaAl, with properties calculated at the GGA-PBE level.

Unit cell a=3.7584 b=3.7584 c=5.4747 alpha=110.08 beta=110.08 gamma=90.00
Closest atoms and distances in Å follow each position.
Element x y z (fractional)
Pa 0.6068 0.6068 0.2135  1 Zr 2.87, 5 Al 3.12-3.15
Zr 0.3074 0.3074 0.6149  1 Pa 2.87, 4 Al 2.93
Al 0.9358 0.9358 0.8716  4 Zr 2.93, 5 Pa 3.12-3.15

Output
- total magnetization (Bohr magnetons per cell) = 0.00
- excess energy over the best structure of this formula in the dataset (meV/atom) = 7
- DOS at the Fermi energy (states/eV/cell) = 4.578
- energy of formation from the pure elements (meV per atom) = 18

---

[5]
Below is an optimized crystal structure of ZrPaAl, with properties calculated at the GGA-PBE level.

Unit cell a=3.5508 b=3.5508 c=11.4127 alpha=98.95 beta=98.95 gamma=90.00
Closest atoms and distances in Å follow each position.
Element x y z (fractional)
Al 0.3636 0.3636 0.7273  4 Zr 2.94, 5 Pa 3.11-3.23
Al 0.6364 0.6364 0.2727  4 Zr 2.94, 5 Pa 3.11-3.23
Pa 0.2185 0.2185 0.4370  4 Pa 2.88, 4 Al 3.11
Pa 0.7815 0.7815 0.5630  4 Pa 2.88, 4 Al 3.11
Zr 0.9325 0.9325 0.8651  4 Al 2.94, 1 Zr 3.00
Zr 0.0675 0.0675 0.1349  4 Al 2.94, 1 Zr 3.00

Output
- total magnetization (Bohr magnetons per cell) = 0.00
- excess energy over the best structure of this formula in the dataset (meV/atom) = 177
- DOS at the Fermi energy (states/eV/cell) = 8.800
- energy of formation from the pure elements (meV per atom) = 188

---

[6]
Below is an optimized crystal structure of AlPb3, with properties calculated at the GGA-PBE level.

Unit cell a=6.1633 b=6.1633 c=6.1633 alpha=90.00 beta=90.00 gamma=90.00
Closest atoms and distances in Å follow each position.
Element x y z (fractional)
Pb 0.7500 0.5000 0.0000  2 Pb 3.08, 4 Al 3.45
Al 0.0000 0.0000 0.0000  12 Pb 3.45
Pb 0.5000 0.0000 0.7500  2 Pb 3.08, 4 Al 3.45
Pb 0.0000 0.7500 0.5000  2 Pb 3.08, 4 Al 3.45
Pb 0.5000 0.0000 0.2500  2 Pb 3.08, 4 Al 3.45
Pb 0.0000 0.2500 0.5000  2 Pb 3.08, 4 Al 3.45
Pb 0.2500 0.5000 0.0000  2 Pb 3.08, 4 Al 3.45
Al 0.5000 0.5000 0.5000  12 Pb 3.45

Output
- total magnetization (Bohr magnetons per cell) = 0.00
- excess energy over the best structure of this formula in the dataset (meV/atom) = 113
- DOS at the Fermi energy (states/eV/cell) = 4.249
- energy of formation from the pure elements (meV per atom) = 241

---

[7]
Below is an optimized crystal structure of AlPb, with properties calculated at the GGA-PBE level.

Unit cell a=4.2017 b=5.9361 c=8.2228 alpha=90.00 beta=90.00 gamma=90.00
Closest atoms and distances in Å follow each position.
Element x y z (fractional)
Pb 0.7500 0.3971 0.1773  7 Al 3.03-3.31
Al 0.7500 0.8720 0.0409  2 Al 2.68
Pb 0.2500 0.6029 0.8227  7 Al 3.03-3.31
Pb 0.2500 0.8971 0.3227  7 Al 3.03-3.31
Pb 0.7500 0.1029 0.6773  7 Al 3.03-3.31
Al 0.2500 0.1280 0.9591  2 Al 2.68
Al 0.2500 0.3720 0.4591  2 Al 2.68
Al 0.7500 0.6280 0.5409  2 Al 2.68

Output
- total magnetization (Bohr magnetons per cell) = 0.00
- DOS at the Fermi energy (states/eV/cell) = 2.872
- energy of formation from the pure elements (meV per atom) = 204

---

[8]
Below is an optimized crystal structure of Al2Pb, with properties calculated at the GGA-PBE level.

Unit cell a=5.9843 b=5.9843 c=5.9843 alpha=149.03 beta=141.53 gamma=50.17
Closest atoms and distances in Å follow each position.
Element x y z (fractional)
Al 0.6958 0.6958 0.0000  4 Al 2.80
Pb 0.0000 0.0000 0.0000  2 Pb 3.20, 10 Al 3.30-3.31
Al 0.3042 0.3042 0.0000  4 Al 2.80

Output
- total magnetization (Bohr magnetons per cell) = 0.00
- DOS at the Fermi energy (states/eV/cell) = 1.592
- energy of formation from the pure elements (meV per atom) = 233

---

[9]
Below is an optimized crystal structure of Al2Pb, with properties calculated at the GGA-PBE level.

Unit cell a=6.3015 b=6.3015 c=4.8993 alpha=90.00 beta=90.00 gamma=134.62
Closest atoms and distances in Å follow each position.
Element x y z (fractional)
Pb 0.2388 0.2388 0.7500  6 Al 3.08-3.43, 2 Pb 3.38
Pb 0.7612 0.7612 0.2500  6 Al 3.08-3.43, 2 Pb 3.38
Al 0.8517 0.4481 0.7500  6 Al 2.68-2.86
Al 0.4481 0.8517 0.7500  6 Al 2.68-2.86
Al 0.5519 0.1483 0.2500  6 Al 2.68-2.86
Al 0.1483 0.5519 0.2500  6 Al 2.68-2.86

Output
- total magnetization (Bohr magnetons per cell) = 0.00
- DOS at the Fermi energy (states/eV/cell) = 2.360
- energy of formation from the pure elements (meV per atom) = 194

---

[10]
Below is an optimized crystal structure of AlPb3, with properties calculated at the GGA-PBE level.

Unit cell a=7.0139 b=7.0139 c=5.3755 alpha=90.00 beta=90.00 gamma=120.00
Closest atoms and distances in Å follow each position.
Element x y z (fractional)
Pb 0.8269 0.1731 0.7500  4 Al 3.32-3.51, 8 Pb 3.37-3.64
Al 0.3333 0.6667 0.7500  12 Pb 3.32-3.51
Pb 0.3462 0.1731 0.7500  4 Al 3.32-3.51, 8 Pb 3.37-3.64
Al 0.6667 0.3333 0.2500  12 Pb 3.32-3.51
Pb 0.8269 0.6538 0.7500  4 Al 3.32-3.51, 8 Pb 3.37-3.64
Pb 0.1731 0.3462 0.2500  4 Al 3.32-3.51, 8 Pb 3.37-3.64
Pb 0.1731 0.8269 0.2500  4 Al 3.32-3.51, 8 Pb 3.37-3.64
Pb 0.6538 0.8269 0.2500  4 Al 3.32-3.51, 8 Pb 3.37-3.64

Output
- total magnetization (Bohr magnetons per cell) = 0.00
- excess energy over the best structure of this formula in the dataset (meV/atom) = 58
- DOS at the Fermi energy (states/eV/cell) = 4.741
- energy of formation from the pure elements (meV per atom) = 186